MgNb: relaxed, PBE.

a b c (Å): 5.008 6.173 10.194
angles (deg): 90.00 90.00 90.00
Space group Pmmn (No. 59, origin choice 2)
Symmetry-distinct sites (fractional):
1 Mg 0.250 0.000 0.090 (multiplicity 4)
2 Mg 0.250 0.250 0.342 (multiplicity 2)
3 Mg 0.250 0.250 0.834 (multiplicity 2)
4 Nb 0.250 0.508 0.590 (multiplicity 4)
5 Nb 0.250 0.750 0.362 (multiplicity 2)
6 Nb 0.250 0.750 0.815 (multiplicity 2)

**Mass density**: 4.9 g/cm3
**Uncorrected energy**: -5.586 eV/atom